[1]
DFT (GGA+U) results for HfCoNO after structural relaxation.

Calculated density in g/cm³: 8.44
Raw total energy in eV per atom: -8.417
Magnetic moment in μB/atom: 0.50
Symmetry: Pmc2_1, No. 26

Unit cell a=3.357 b=5.421 c=5.785 alpha=90.00 beta=90.00 gamma=90.00
Fractional coordinates of all 8 atoms:
Hf (0.000, 0.165, 0.000)
Hf (0.000, 0.835, 0.500)
Co (0.500, 0.317, 0.432)
Co (0.500, 0.683, 0.932)
N (0.500, 0.342, 0.109)
N (0.500, 0.658, 0.609)
O (0.000, 0.171, 0.650)
O (0.000, 0.829, 0.150)

***

[2]
DFT (GGA+U) results for HfCoNO after structural relaxation.

Calculated density in g/cm³: 10.84
Raw total energy in eV per atom: -8.289
Magnetic moment in μB/atom: 0.50
Symmetry: P4/nmm, No. 129

Unit cell a=3.335 b=3.335 c=7.365 alpha=90.00 beta=90.00 gamma=90.00
Fractional coordinates of all 8 atoms:
Hf (0.250, 0.250, 0.174)
Hf (0.750, 0.750, 0.826)
Co (0.250, 0.750, 0.500)
Co (0.750, 0.250, 0.500)
N (0.250, 0.250, 0.689)
N (0.750, 0.750, 0.311)
O (0.250, 0.750, 0.000)
O (0.750, 0.250, 0.000)

***

[3]
DFT (GGA+U) results for HfCoNO after structural relaxation.

Calculated density in g/cm³: 10.60
Raw total energy in eV per atom: -8.574
Magnetic moment in μB/atom: 0.48
Symmetry: P4/nmm, No. 129

Unit cell a=4.445 b=4.445 c=4.239 alpha=90.00 beta=90.00 gamma=90.00
Fractional coordinates of all 8 atoms:
Hf (0.250, 0.750, 0.000)
Hf (0.750, 0.250, 0.000)
Co (0.250, 0.250, 0.493)
Co (0.750, 0.750, 0.507)
N (0.250, 0.250, 0.994)
N (0.750, 0.750, 0.006)
O (0.250, 0.750, 0.500)
O (0.750, 0.250, 0.500)

***

Question: The highest calculated density belongs to which entry?
Answer: number 2

***

Question: The highest raw total energy belongs to which entry?
Answer: number 2

***

Question: Which value of magnetic moment does entry 2 give?
Answer: 0.50 μB/atom

***

Question: calculated density of number 3 (HfCoNO)?
Answer: 10.60 g/cm³